Entry 1:
Entry from Alexandria via LeMat-Bulk: crystalline CuSnAu2O6 at its relaxed geometry (GGA-PBE).

magnetization: 0.7 μB per formula unit
symmetry: C2/c
energy relative to the elements, uncorrected: -0.50 eV per atom

abc: 6.9996 6.9996 5.8336
angles: 102.01 102.01 65.07
Atoms (fractional coordinates):
Cu 0.1450 0.8550 0.7500
Cu 0.8550 0.1450 0.2500
Sn 0.3782 0.6218 0.2500
Sn 0.6218 0.3782 0.7500
Au 0.1155 0.3617 0.7410
Au 0.3617 0.1155 0.2410
Au 0.6383 0.8845 0.7590
Au 0.8845 0.6383 0.2590
O 0.0397 0.3032 0.2111
O 0.1064 0.7585 0.4123
O 0.2415 0.8936 0.0877
O 0.3032 0.0397 0.7111
O 0.3492 0.4538 0.9054
O 0.4538 0.3492 0.4054
O 0.5462 0.6508 0.5946
O 0.6508 0.5462 0.0946
O 0.6968 0.9603 0.2889
O 0.7585 0.1064 0.9123
O 0.8936 0.2415 0.5877
O 0.9603 0.6968 0.7889


Entry 2:
Entry from Alexandria via LeMat-Bulk: crystalline CaBiClO2 at its relaxed geometry (GGA-PBE).

magnetization: 0.0 μB per formula unit
symmetry: P2_1/m
energy relative to the elements, uncorrected: -2.03 eV per atom

abc: 6.5114 4.1663 7.8240
angles: 90.00 104.64 90.00
Atoms (fractional coordinates):
Ca 0.1715 0.2500 0.4208
Ca 0.8285 0.7500 0.5792
Bi 0.1750 0.2500 0.9059
Bi 0.8250 0.7500 0.0941
Cl 0.4464 0.7500 0.6879
Cl 0.5536 0.2500 0.3121
O 0.0122 0.7500 0.3580
O 0.0279 0.7500 0.9012
O 0.9721 0.2500 0.0988
O 0.9878 0.2500 0.6420


Entry 3:
Entry from Alexandria via LeMat-Bulk: crystalline AcPrHoTl at its relaxed geometry (GGA-PBE).

magnetization: 0.0 μB per formula unit
symmetry: F-43m
final energy: -0.14470 Ha/atom

abc: 5.6886 5.6886 5.6886
angles: 60.00 60.00 60.00
Atoms (fractional coordinates):
Ac 0.0000 0.0000 0.0000
Pr 0.2500 0.2500 0.2500
Ho 0.7500 0.7500 0.7500
Tl 0.5000 0.5000 0.5000


Look up the magnetization of the second one.
0.0 μB per formula unit


Which formula does entry 3 have?
AcPrHoTl